ZnIrPd PBE relaxed; DFT total energy = -5.251 eV/atom; energy above the most stable polymorph in this dataset = 0.00 eV/f.u.; space-group type = P3m1; DOS(E_F) = 3.93 states/eV/f.u.; size of the total moment = 0.000 Bohr magnetons per cell; energy of formation from the pure elements = -0.142 eV per atom
1.0
-2.3635 1.4589 -0.0736
0.9962 -1.1492 -2.3253
-3.3939 -5.4360 1.2326
Zn Ir Pd
1 1 1
Direct
0.3333 0.6667 0.6675
0.6667 0.3333 0.3425
0.0000 0.0000 0.9900

Rb2BHF6 PBE relaxed; DFT total energy = -4.319 eV/atom; energy above the most stable polymorph in this dataset = 7.03 eV/f.u.; space-group type = I4/mmm; DOS(E_F) = 0.00 states/eV/f.u.; size of the total moment = 0.000 Bohr magnetons per cell
1.0
5.3073 0.0000 0.0000
0.0000 5.3073 0.0000
2.6536 2.6536 4.5021
H B Rb F
1 1 2 6
Direct
0.5000 0.5000 0.0000
0.0000 0.0000 0.0000
0.7500 0.2500 0.5000
0.2500 0.7500 0.5000
0.1521 0.1521 0.6957
0.8479 0.8479 0.3043
0.2609 0.2609 0.0000
0.7391 0.7391 0.0000
0.7391 0.2609 0.0000
0.2609 0.7391 0.0000

Cu2Au5 PBE relaxed; DFT total energy = -3.514 eV/atom; energy above the most stable polymorph in this dataset = 0.00 eV/f.u.; space-group type = C2/c; DOS(E_F) = 1.52 states/eV/f.u.; size of the total moment = 0.000 Bohr magnetons per cell; energy of formation from the pure elements = -0.003 eV per atom
1.0
4.7687 0.0000 0.0000
0.0000 7.5370 0.3080
-2.3844 -0.7780 6.4154
Cu Au
4 10
Direct
0.2382 0.3935 0.8532
0.3850 0.1065 0.1468
0.7618 0.6065 0.1468
0.6150 0.8935 0.8532
0.3181 0.4600 0.2602
0.0579 0.0400 0.7398
0.1077 0.6775 0.5687
0.5390 0.8225 0.4313
0.8923 0.3225 0.4313
0.4610 0.1775 0.5687
0.9421 0.9600 0.2602
0.6819 0.5400 0.7398
0.7930 0.2500 0.0000
0.2070 0.7500 0.0000

Zr2Co3Ir PBE relaxed; DFT total energy = -8.337 eV/atom; space-group type = R-3m; DOS(E_F) = 6.65 states/eV/f.u.; size of the total moment = 0.010 Bohr magnetons per cell; energy of formation from the pure elements = -0.458 eV per atom
1.0
-1.2151 1.7813 -4.4362
3.3215 -3.6269 0.3775
-3.3387 -2.7944 2.5335
Zr Co Ir
2 3 1
Direct
0.7553 0.3776 0.1329
0.2447 0.6224 0.8671
0.5000 0.5000 0.5000
0.0000 0.0000 0.5000
0.5000 0.0000 0.5000
0.0000 0.0000 0.0000

CdSb2TePd PBE relaxed; DFT total energy = -3.193 eV/atom; energy above the most stable polymorph in this dataset = 0.00 eV/f.u.; space-group type = P4/mmm; ΔE_f (raw) = 7.1 kcal/mol of atoms; DOS(E_F) = 5.18 states/eV/f.u.; size of the total moment = 0.000 Bohr magnetons per cell
1.0
-2.5197 4.2950 -1.5555
-1.6555 0.7970 4.8826
4.4690 2.9936 1.0267
Sb Te Pd Cd
2 1 1 1
Direct
0.0000 0.5000 0.0000
0.5000 0.0000 0.0000
0.0000 0.0000 0.5000
0.0000 0.0000 0.0000
0.5000 0.5000 0.5000